<1>
## PmHgPd2 (PBE)

Data for crystalline PmHgPd2 at its relaxed geometry.

Results
The value obtained for the total magnetization is 0.0 μB per formula unit. The calculation puts the density at 10.8 g cm⁻³.

Structure (CIF):
```
data_PmHgPd2
_symmetry_space_group_name_H-M 'P n m a'
_symmetry_Int_Tables_number 62
_cell_length_a 7.606
_cell_length_b 7.341
_cell_length_c 6.176
_cell_angle_alpha 90.00
_cell_angle_beta 90.00
_cell_angle_gamma 90.00
loop_
_symmetry_equiv_pos_as_xyz
'x,y,z'
'-x,-y,-z'
'-x+1/2,-y,z+1/2'
'x+1/2,y,-z+1/2'
'x+1/2,-y+1/2,-z+1/2'
'-x+1/2,y+1/2,z+1/2'
'-x,y+1/2,-z'
'x,-y+1/2,z'
loop_
_atom_site_label
_atom_site_fract_x
_atom_site_fract_y
_atom_site_fract_z
Pm1 0.034 0.250 0.163
Hg1 0.095 0.750 0.333
Pd1 0.208 0.051 0.549
```

<2>
## PmHgPd2 (PBE)

Data for crystalline PmHgPd2 at its relaxed geometry.

Results
The value obtained for the total magnetization is 0.0 μB per formula unit. The calculation puts the density at 11.4 g cm⁻³.

Structure (CIF):
```
data_PmHgPd2
_symmetry_space_group_name_H-M 'P m m n'
_symmetry_Int_Tables_number 59
_cell_length_a 5.018
_cell_length_b 6.226
_cell_length_c 5.208
_cell_angle_alpha 90.00
_cell_angle_beta 90.00
_cell_angle_gamma 90.00
loop_
_symmetry_equiv_pos_as_xyz
'x,y,z'
'-x,-y,-z'
'-x+1/2,-y+1/2,z'
'x+1/2,y+1/2,-z'
'x+1/2,-y,-z'
'-x+1/2,y,z'
'-x,y+1/2,-z'
'x,-y+1/2,z'
loop_
_atom_site_label
_atom_site_fract_x
_atom_site_fract_y
_atom_site_fract_z
Pm1 0.250 0.250 0.188
Hg1 0.250 0.750 0.217
Pd1 0.250 0.003 0.687
```

Most stable structure - <2>; separation to the second - 96 meV/atom.

<1>
## Pm3Hg3Pd2 (PBE)

Data for crystalline Pm3Hg3Pd2 at its relaxed geometry.

Results
The value obtained for the total magnetization is 0.0 μB per formula unit. The calculation puts the density at 10.5 g cm⁻³.

Structure (CIF):
```
data_Pm3Hg3Pd2
_symmetry_space_group_name_H-M 'C m c m'
_symmetry_Int_Tables_number 63
_symmetry_space_group_name_Hall '-C 2c 2'
_cell_length_a 4.042
_cell_length_b 10.880
_cell_length_c 17.967
_cell_angle_alpha 90.00
_cell_angle_beta 90.00
_cell_angle_gamma 90.00
loop_
_atom_site_label
_atom_site_fract_x
_atom_site_fract_y
_atom_site_fract_z
Pm1 0.000 0.065 0.107
Pm2 0.000 0.324 0.250
Hg1 0.000 0.359 0.031
Hg2 0.000 0.399 0.750
Pd1 0.000 0.232 0.627
```

<2>
## Pm3Hg3Pd2 (PBE)

Data for crystalline Pm3Hg3Pd2 at its relaxed geometry.

Results
The value obtained for the total magnetization is 0.0 μB per formula unit. The calculation puts the density at 10.5 g cm⁻³.

Structure (CIF):
```
data_Pm3Hg3Pd2
_symmetry_space_group_name_H-M 'P -6 2 m'
_symmetry_Int_Tables_number 189
_symmetry_space_group_name_Hall 'P -6 -2'
_cell_length_a 7.6970
_cell_length_b 7.6970
_cell_length_c 3.8369
_cell_angle_alpha 90.00
_cell_angle_beta 90.00
_cell_angle_gamma 120.00
loop_
_atom_site_label
_atom_site_fract_x
_atom_site_fract_y
_atom_site_fract_z
Pm1 0.0000 0.4078 0.0000
Hg1 0.0000 0.7620 0.5000
Pd1 0.3333 0.6667 0.5000
```

Most stable structure - <2>; separation to the second - 51 meV/atom.

<1>
## Pm3HgPd (PBE)

Data for crystalline Pm3HgPd at its relaxed geometry.

Results
The value obtained for the total magnetization is 0.0 μB per formula unit. The calculation puts the density at 8.1 g cm⁻³.

Structure (CIF):
```
data_Pm3HgPd
_symmetry_space_group_name_H-M 'C m m m'
_symmetry_Int_Tables_number 65
_symmetry_space_group_name_Hall '-C 2 2'
_cell_length_a 10.077
_cell_length_b 15.188
_cell_length_c 3.986
_cell_angle_alpha 90.00
_cell_angle_beta 90.00
_cell_angle_gamma 90.00
loop_
_atom_site_label
_atom_site_fract_x
_atom_site_fract_y
_atom_site_fract_z
Pm1 0.000 0.165 0.000
Pm2 0.194 0.384 0.500
Hg1 0.000 0.000 0.500
Hg2 0.000 0.500 0.000
Pd1 0.250 0.250 0.000
```

<2>
## Pm3HgPd (PBE)

Data for crystalline Pm3HgPd at its relaxed geometry.

Results
The value obtained for the total magnetization is 0.0 μB per formula unit. The calculation puts the density at 8.5 g cm⁻³.

Structure (CIF):
```
data_Pm3HgPd
_symmetry_space_group_name_H-M 'P 1 21/c 1'
_symmetry_Int_Tables_number 14
_cell_length_a 9.523
_cell_length_b 7.775
_cell_length_c 8.329
_cell_angle_alpha 90.00
_cell_angle_beta 109.54
_cell_angle_gamma 90.00
loop_
_symmetry_equiv_pos_as_xyz
'x,y,z'
'-x,-y,-z'
'-x,y+1/2,-z+1/2'
'x,-y+1/2,z+1/2'
loop_
_atom_site_label
_atom_site_fract_x
_atom_site_fract_y
_atom_site_fract_z
Pm1 0.077 0.014 0.215
Pm2 0.310 0.154 0.614
Pm3 0.361 0.680 0.483
Hg1 0.081 0.670 0.053
Pd1 0.415 0.040 0.317
```

Most stable structure - <2>; separation to the second - 60 meV/atom.